# SiAsC2

SiAsC2 after structural relaxation (PBE-GGA, the Alexandria database).

total moment: 0.00 μB per cell
formation energy from raw total energies: 0.688 eV/atom
offset from the most stable computed form: 0.137 eV/atom

Structure (CIF):
```
data_SiAsC2
_chemical_formula_sum 'Si2 As2 C4'
_symmetry_space_group_name_H-M 'C 1 m 1'
_symmetry_Int_Tables_number 8
_cell_length_a 5.1999
_cell_length_b 3.6101
_cell_length_c 5.0052
_cell_angle_alpha 90.00
_cell_angle_beta 90.02
_cell_angle_gamma 90.00
loop_
_symmetry_equiv_pos_as_xyz
'x,y,z'
'x,-y,z'
'x+1/2,y+1/2,z'
'x+1/2,-y+1/2,z'
loop_
_atom_site_label
_atom_site_fract_x
_atom_site_fract_y
_atom_site_fract_z
Si1 0.0000 0.0000 0.0000
As1 0.3619 0.0000 0.5000
C1 0.3530 0.0000 0.1031
C2 0.4946 0.5000 0.6174
```